Crystalline DyWBrO4 at its relaxed geometry. Source: the Alexandria database, functional GGA+U.

Results
Its crystal system is monoclinic. As for the excess energy over the best structure of this formula in the dataset: 7.5 meV/atom. Its total energy is -0.262 hartree per atom.

Geometry as CIF:
```
data_DyWBrO4
_symmetry_space_group_name_H-M 'C 1 2/m 1'
_symmetry_Int_Tables_number 12
_symmetry_space_group_name_Hall '-C 2y'
_cell_length_a 10.6202
_cell_length_b 7.3156
_cell_length_c 7.0056
_cell_angle_alpha 90.00
_cell_angle_beta 107.51
_cell_angle_gamma 90.00
loop_
_atom_site_label
_atom_site_type_symbol
_atom_site_fract_x
_atom_site_fract_y
_atom_site_fract_z
Dy1 Dy 0.2305 0.0000 0.1214
W1 W 0.1347 0.5000 0.2645
Br1 Br 0.0107 0.0000 0.7564
O1 O 0.0438 0.5000 0.8091
O2 O 0.1985 0.5000 0.5329
O3 O 0.1994 0.3078 0.1544
```